This record from Alexandria via LeMat-Bulk describes crystalline CsCa2AlF8 at its relaxed geometry. The functional is PBE.

Calculated values
Symmetry: P-1 (2)
Uncorrected formation energy, meV per atom: -3550

a b c (Å): 5.0948 5.3864 7.3887
angles (deg): 77.10 88.93 75.87
Positions (direct):
Cs1 0.0000 0.0000 0.0000
Ca1 0.4682 0.4010 0.2613
Ca2 0.5318 0.5990 0.7387
Al1 0.0000 0.0000 0.5000
F1 0.0844 0.2501 0.3138
F2 0.2537 0.7235 0.4254
F3 0.2692 0.0173 0.6480
F4 0.3947 0.3220 0.9714
F5 0.6053 0.6780 0.0286
F6 0.7308 0.9827 0.3520
F7 0.7463 0.2765 0.5746
F8 0.9156 0.7499 0.6862

=====

This record from Alexandria via LeMat-Bulk describes crystalline Pm8POs3I4 at its relaxed geometry. The functional is PBE.

Calculated values
Symmetry: R-3m (166)
Uncorrected formation energy, meV per atom: -729

a b c (Å): 9.3381 9.3381 9.3381
angles (deg): 53.61 53.61 53.61
Positions (direct):
Pm1 0.2168 0.7326 0.7326
Pm2 0.2305 0.2305 0.2305
Pm3 0.2674 0.2674 0.7832
Pm4 0.2674 0.7832 0.2674
Pm5 0.7326 0.2168 0.7326
Pm6 0.7326 0.7326 0.2168
Pm7 0.7695 0.7695 0.7695
Pm8 0.7832 0.2674 0.2674
P1 0.5000 0.5000 0.5000
Os1 0.0000 0.0000 0.5000
Os2 0.0000 0.5000 0.0000
Os3 0.5000 0.0000 0.0000
I1 0.0000 0.0000 0.0000
I2 0.0000 0.5000 0.5000
I3 0.5000 0.0000 0.5000
I4 0.5000 0.5000 0.0000

=====

This record from Alexandria via LeMat-Bulk describes crystalline ScUMn2 at its relaxed geometry. The functional is PBE.

Calculated values
Energy relative to the elements, kJ/mol of formula units: 31
Symmetry: P4/mmm (123)

a b c (Å): 4.5395 4.5395 3.1497
angles (deg): 90.00 90.00 90.00
Positions (direct):
Sc1 0.0000 0.0000 0.0000
U1 0.5000 0.5000 0.0000
Mn1 0.0000 0.5000 0.5000
Mn2 0.5000 0.0000 0.5000

=====

This record from Alexandria via LeMat-Bulk describes crystalline KCeAs2Pt4 at its relaxed geometry. The functional is PBE.

Calculated values
Energy relative to the elements, kJ/mol of formula units: -473
Symmetry: P4/mmm (123)

a b c (Å): 4.0418 4.0418 11.1862
angles (deg): 90.00 90.00 90.00
Positions (direct):
K1 0.0000 0.0000 0.0000
Ce1 0.0000 0.0000 0.5000
As1 0.5000 0.5000 0.1755
As2 0.5000 0.5000 0.8245
Pt1 0.0000 0.5000 0.3071
Pt2 0.0000 0.5000 0.6929
Pt3 0.5000 0.0000 0.3071
Pt4 0.5000 0.0000 0.6929

=====

This record from Alexandria via LeMat-Bulk describes crystalline CaNp5As6 at its relaxed geometry. The functional is PBE.

Calculated values
Energy relative to the elements, kJ/mol of formula units: -883
Symmetry: C2/m (12)

a b c (Å): 7.1431 7.1431 7.1479
angles (deg): 99.58 99.58 120.04
Positions (direct):
Ca1 0.0000 0.0000 0.0000
Np1 0.1634 0.8366 0.5000
Np2 0.3326 0.6674 0.0000
Np3 0.5000 0.5000 0.5000
Np4 0.6674 0.3326 0.0000
Np5 0.8366 0.1634 0.5000
As1 0.0850 0.4262 0.2541
As2 0.2573 0.2573 0.7480
As3 0.4262 0.0850 0.2541
As4 0.5738 0.9150 0.7459
As5 0.7427 0.7427 0.2520
As6 0.9150 0.5738 0.7459

=====

This record from Alexandria via LeMat-Bulk describes crystalline KAlIn2 at its relaxed geometry. The functional is PBE.

Calculated values
Energy relative to the elements, kJ/mol of formula units: 83
Symmetry: Cmmm (65)

a b c (Å): 6.1585 6.1585 3.2296
angles (deg): 90.00 90.00 114.68
Positions (direct):
K1 0.0000 0.0000 0.0000
Al1 0.5000 0.5000 0.0000
In1 0.0000 0.5000 0.5000
In2 0.5000 0.0000 0.5000